Computed, not measured: crystalline BaHgBiPd3 at its relaxed geometry at the PBE-GGA level of DFT.

Summary:
VASP energy (eV/cell): -94.201
Mass density (g/cm³): 9.30
DFT formation energy (kcal/mol of atoms): -7.17
Crystal system: orthorhombic
DOS(E_F) (states/eV per cell): 11.88

abc: 6.8776 12.8695 6.9875
angles: 90.00 90.00 90.00
Last column: nearest neighbours and their distance in Å.
Space group Cmcm (No. 63)
Asymmetric unit:
Ba 0.0000 0.1949 0.2500 (multiplicity 4)  1 Hg 3.31, 6 Pd 3.38-3.46, 2 Bi 3.61
Hg 0.0000 0.4519 0.2500 (multiplicity 4)  5 Pd 2.72-2.75
Bi 0.0000 0.1245 0.7500 (multiplicity 4)  5 Pd 2.70-2.78
Pd 0.0000 0.3342 0.7500 (multiplicity 4)  1 Bi 2.70, 1 Hg 2.75
Pd 0.2106 0.0000 0.0000 (multiplicity 8)  2 Hg 2.72, 2 Bi 2.78, 1 Pd 2.90

Computed, not measured: crystalline Ba2HgBi3Pd4 at its relaxed geometry at the PBE-GGA level of DFT.

Summary:
VASP energy (eV/cell): -42.529
Mass density (g/cm³): 9.51
DFT formation energy (kcal/mol of atoms): -13.76
Crystal system: tetragonal
DOS(E_F) (states/eV per cell): 4.99

abc: 4.9490 4.9490 10.8890
angles: 90.00 90.00 90.00
Last column: nearest neighbours and their distance in Å.
Space group P-4m2 (No. 115)
Asymmetric unit:
Ba 0.0000 0.5000 0.2463 (multiplicity 2)  8 Pd 3.65-3.77, 2 Hg 3.71, 7 Bi 3.71-4.01
Hg 0.0000 0.0000 0.5000 (multiplicity 1)  4 Pd 2.82
Bi 0.0000 0.5000 0.8782 (multiplicity 2)  5 Pd 2.77-2.81
Bi 0.5000 0.5000 0.5000 (multiplicity 1)  4 Pd 2.82
Pd 0.0000 0.0000 0.0000 (multiplicity 1)  4 Bi 2.81
Pd 0.0000 0.5000 0.6241 (multiplicity 2)  3 Bi 2.77-2.82, 2 Hg 2.82
Pd 0.5000 0.5000 0.0000 (multiplicity 1)  4 Bi 2.81

Computed, not measured: crystalline Ba2HgBi6Pd at its relaxed geometry at the PBE-GGA level of DFT.

Summary:
VASP energy (eV/cell): -217.415
Mass density (g/cm³): 8.20
DFT formation energy (kcal/mol of atoms): -8.32
Crystal system: trigonal
DOS(E_F) (states/eV per cell): 50.25

abc: 6.8187 6.8187 55.4122
angles: 90.00 90.00 120.00
Last column: nearest neighbours and their distance in Å.
Space group R-3m (No. 166, hexagonal axes)
Asymmetric unit:
Ba 0.0000 0.0000 0.0982 (multiplicity 6)  9 Bi 3.72-3.93, 3 Hg 3.97
Ba 0.0000 0.0000 0.3179 (multiplicity 6)  9 Bi 3.69-3.71, 3 Pd 4.03
Hg 0.0000 0.0000 0.4222 (multiplicity 6)  6 Bi 3.24-3.34
Bi 0.0076 0.5038 0.7074 (multiplicity 18)  1 Pd 2.97
Bi 0.0215 0.5107 0.8666 (multiplicity 18)  1 Pd 2.79
Pd 0.0000 0.0000 0.0000 (multiplicity 3)  6 Bi 2.97
Pd 0.0000 0.0000 0.5000 (multiplicity 3)  6 Bi 2.79